No. 1
LiNbC3: optimized geometry, PBEsol.

Cell lengths 3.528, 3.528, 3.528 Å; angles 90.00, 90.00, 90.00 degrees
Fractional coordinates of all 5 atoms:
1 C 0.500 0.000 0.000
2 Nb 0.500 0.500 0.500
3 C 0.000 0.000 0.500
4 Li 0.000 0.000 0.000
5 C 0.000 0.500 0.000

Properties
The calculation puts the total magnetization at 0.000 μB per cell. The energy of formation is 2.0682 eV per atom. The value obtained for the total energy is -6.28 eV per atom. The symmetry is No. 221. The density of states at the Fermi level is 2.32 states/eV/f.u.

---

No. 2
Li2NbCSe: optimized geometry, PBEsol.

Cell lengths 4.045, 4.045, 4.993 Å; angles 90.00, 90.00, 90.00 degrees
Fractional coordinates of all 5 atoms:
1 Se 0.000 0.000 0.000
2 Li 0.500 0.000 0.000
3 Nb 0.000 0.000 0.500
4 Li 0.000 0.500 0.000
5 C 0.500 0.500 0.500

Properties
The calculation puts the total magnetization at 0.000 μB per cell. The value obtained for the formation energy (no corrections) is 0.96 eV/atom. The value obtained for the total energy is -4.68 eV per atom. The symmetry is No. 123. The density of states at the Fermi level is 2.28 states/eV/f.u.

---

No. 3
Li2NiC2: optimized geometry, PBEsol.

Cell lengths 3.391, 4.887, 4.887 Å; angles 90.00, 90.00, 90.00 degrees
Fractional coordinates of all 10 atoms:
1 C 0.000 0.901 0.599
2 Li 0.500 0.685 0.815
3 Ni 0.000 0.500 0.500
4 C 0.000 0.401 0.901
5 Li 0.500 0.315 0.185
6 C 0.000 0.599 0.099
7 Ni 0.000 0.000 0.000
8 Li 0.500 0.815 0.315
9 C 0.000 0.099 0.401
10 Li 0.500 0.185 0.685

Properties
The calculation puts the total magnetization at 0.000 μB per cell. The energy of formation is 0.0200 eV per atom. The value obtained for the total energy is -5.86 eV per atom. The symmetry is No. 127. The density of states at the Fermi level is 0.63 states/eV/f.u.

---

No. 4
LiNi3C: optimized geometry, PBEsol.

Cell lengths 4.793, 4.884, 4.802 Å; angles 90.00, 90.00, 119.39 degrees
Fractional coordinates of all 10 atoms:
1 Li 0.040 0.081 0.807
2 Ni 0.044 0.579 0.949
3 C 0.659 0.317 0.755
4 Ni 0.535 0.579 0.949
5 Ni 0.465 0.421 0.449
6 Ni 0.543 0.086 0.094
7 Ni 0.956 0.421 0.449
8 Li 0.960 0.919 0.307
9 Ni 0.457 0.914 0.594
10 C 0.341 0.683 0.255

Properties
The calculation puts the total magnetization at 0.000 μB per cell. The energy of formation is -0.1123 eV per atom. Its offset from the most stable computed form is 0.000 eV per atom. The value obtained for the total energy is -6.13 eV per atom. The symmetry is No. 36. The density of states at the Fermi level is 2.79 states/eV/f.u.

---

No. 5
LiNi3C: optimized geometry, PBEsol.

Cell lengths 3.704, 3.704, 3.704 Å; angles 90.00, 90.00, 90.00 degrees
Site moments in Bohr magnetons follow the coordinates.
Fractional coordinates of all 5 atoms:
1 Li 0.500 0.500 0.500  0.00
2 C 0.000 0.000 0.000  0.01
3 Ni 0.500 0.000 0.000  0.09
4 Ni 0.000 0.500 0.000  0.09
5 Ni 0.000 0.000 0.500  0.09

Properties
The calculation puts the total magnetization at 0.283 μB per cell. The energy of formation is -0.0705 eV per atom. Its offset from the most stable computed form is 0.042 eV per atom. The value obtained for the total energy is -6.09 eV per atom. The symmetry is No. 221. The density of states at the Fermi level is 4.86 states/eV/f.u.

---

No. 6
LiNiCO2: optimized geometry, PBEsol.

Cell lengths 3.505, 3.505, 4.774 Å; angles 90.00, 90.00, 90.00 degrees
Site moments in Bohr magnetons follow the coordinates.
Fractional coordinates of all 5 atoms:
1 O 0.500 0.000 0.000  0.34
2 Li 0.000 0.000 0.500  0.02
3 C 0.500 0.500 0.500  0.84
4 Ni 0.000 0.000 0.000  0.59
5 O 0.000 0.500 0.000  0.34

Properties
The calculation puts the total magnetization at 3.119 μB per cell. The value obtained for the formation energy (no corrections) is 0.95 eV/atom. The value obtained for the total energy is -4.70 eV per atom. The symmetry is No. 123. The density of states at the Fermi level is 3.94 states/eV/f.u.